Compound: GaPt
Source: the Alexandria database
Functional: PBE-GGA
Structure: optimized geometry

```
16
Lattice="5.4484 0.0000 0.0000 0.0000 6.7310 0.0000 0.0000 0.0000 7.3028" Properties=species:S:1:pos:R:3 pbc="T T T"
Ga 0.2876 1.2658 2.0145
Ga 0.3703 3.1020 4.6450
Ga 2.3539 3.6290 0.9936
Ga 2.4367 5.4652 5.6659
Ga 3.0118 2.0997 5.2884
Ga 3.0946 0.2635 2.6578
Ga 5.0781 6.4675 6.3092
Ga 5.1609 4.6314 1.6369
Pt 0.9557 1.9575 6.9828
Pt 1.0865 0.6621 4.3482
Pt 1.6377 6.0689 0.6968
Pt 1.7686 4.7735 3.3314
Pt 3.6799 1.4080 0.3200
Pt 3.8107 2.7034 2.9547
Pt 4.3619 4.0277 6.6061
Pt 4.4928 5.3230 3.9714
```

Values from the calculation:
As for the formation energy from the elements: -0.53 eV per atom. As for the symmetry: P2_12_12_1 (19). The size of the total moment is 0.00 μB/atom.

=====

Compound: GaAuSF2
Source: the Alexandria database
Functional: PBE-GGA
Structure: optimized geometry

```
5
Lattice="4.2353 0.0000 0.0000 0.0000 4.2353 0.0000 0.0000 0.0000 4.9019" Properties=species:S:1:pos:R:3 pbc="T T T"
Ga 0.0000 0.0000 0.0000
Au 2.1176 2.1176 0.0000
S 2.1176 2.1176 2.4510
F 0.0000 2.1176 2.4510
F 2.1176 0.0000 2.4510
```

Values from the calculation:
As for the symmetry: P4/mmm (123). The size of the total moment is 0.00 μB/atom. The formation energy from raw total energies is -0.4576 eV per atom.

=====

Compound: SrRu2Rh
Source: the Alexandria database
Functional: PBE-GGA
Structure: optimized geometry

```
4
Lattice="2.9018 0.0000 0.0000 0.0000 4.6355 0.0000 -1.0669 0.0000 5.5458" Properties=species:S:1:pos:R:3 pbc="T T T"
Sr 0.0000 0.0000 0.0000
Ru 0.1556 2.3178 3.8106
Ru 1.6793 2.3178 1.7352
Rh 0.9174 0.0000 2.7729
```

Values from the calculation:
Its energy above the most stable polymorph in this dataset is 0.224 eV per atom. As for the formation energy from the elements: 0.60 eV per atom. As for the symmetry: P2/m (10). The size of the total moment is 0.25 μB/atom.

=====

Compound: Zr4AlCu2
Source: the Alexandria database
Functional: PBE-GGA
Structure: optimized geometry

```
7
Lattice="3.0354 0.0000 0.0000 -1.5177 2.6287 0.0000 0.0000 0.0000 17.6640" Properties=species:S:1:pos:R:3 pbc="T T T"
Zr 0.0000 0.0000 0.0000
Zr 0.0000 0.0000 7.8050
Zr 0.0000 1.7525 2.8222
Zr 0.0000 1.7525 12.2777
Al 0.0000 1.7525 15.1954
Cu 0.0000 0.0000 5.0460
Cu 1.5177 0.8762 10.0317
```

Values from the calculation:
Its energy above the most stable polymorph in this dataset is 0.396 eV per atom. As for the formation energy from the elements: 0.23 eV per atom. As for the symmetry: P3m1 (156). The size of the total moment is 0.00 μB/atom.

=====

Compound: Pm4MoN5
Source: the Alexandria database
Functional: PBE-GGA
Structure: optimized geometry

```
10
Lattice="-3.8697 3.8697 2.5672 3.8697 -3.8697 2.5672 3.8697 3.8697 -2.5672" Properties=species:S:1:pos:R:3 pbc="T T T"
Pm 2.3649 0.8271 0.0000
Pm 3.0426 -1.5048 2.5672
Pm 0.8271 5.3744 0.0000
Pm 1.5048 3.0426 2.5672
Mo 0.0000 0.0000 2.8916
N 4.5846 1.7583 0.0255
N 1.7583 3.1548 0.0255
N 2.1114 0.7149 2.5926
N -0.7149 2.1114 2.5926
N 0.0000 0.0000 4.7305
```

Values from the calculation:
As for the symmetry: I4 (79). The size of the total moment is 0.00 μB/atom. The formation energy from raw total energies is -1.1318 eV per atom.

=====

Compound: Pr4Nd3Sc
Source: the Alexandria database
Functional: PBE-GGA
Structure: optimized geometry

```
16
Lattice="23.8323 0.0000 0.0000 0.0000 3.6524 0.0000 -0.5552 0.0000 6.2831" Properties=species:S:1:pos:R:3 pbc="T T T"
Pr 2.6408 0.0000 2.3683
Pr 2.4855 1.8262 5.4791
Pr 8.8755 0.0000 0.8041
Pr 8.7202 1.8262 3.9149
Pr 14.5570 1.8262 2.3683
Pr 14.4017 0.0000 5.4791
Pr 20.7916 1.8262 0.8041
Pr 20.6364 0.0000 3.9149
Nd 0.0000 0.0000 0.0000
Nd 5.7853 1.8262 1.5859
Nd 5.5757 0.0000 4.6972
Nd 11.9162 1.8262 0.0000
Nd 17.7015 0.0000 1.5859
Nd 17.4918 1.8262 4.6972
Sc -0.2776 1.8262 3.1416
Sc 11.6386 0.0000 3.1416
```

Values from the calculation:
Its energy above the most stable polymorph in this dataset is 0.000 eV per atom. As for the formation energy from the elements: 0.03 eV per atom. As for the symmetry: C2/m (12). The size of the total moment is 0.00 μB/atom.

=====

Compound: Sr4Tl3Hg
Source: the Alexandria database
Functional: PBE-GGA
Structure: optimized geometry

```
8
Lattice="4.2742 0.0000 0.0000 0.0000 5.2714 0.0000 0.0000 0.0000 12.6349" Properties=species:S:1:pos:R:3 pbc="T T T"
Sr 0.0000 0.0000 0.0000
Sr 0.0000 2.6357 3.5229
Sr 2.1371 0.0000 6.1878
Sr 2.1371 2.6357 9.9053
Tl 0.0000 0.0000 9.0763
Tl 0.0000 2.6357 7.0408
Tl 2.1371 2.6357 0.7633
Hg 2.1371 0.0000 2.7347
```

Values from the calculation:
Its energy above the most stable polymorph in this dataset is 0.037 eV per atom. As for the formation energy from the elements: -0.42 eV per atom. As for the symmetry: Pmm2 (25). The size of the total moment is 0.00 μB/atom.

=====

Compound: Li2TeRh
Source: the Alexandria database
Functional: PBE-GGA
Structure: optimized geometry

```
8
Lattice="3.9241 0.0000 0.0000 0.0000 3.9241 0.0000 0.0000 0.0000 8.3363" Properties=species:S:1:pos:R:3 pbc="T T T"
Li 0.0000 1.9621 2.0841
Li 0.0000 1.9621 6.2522
Li 1.9621 0.0000 2.0841
Li 1.9621 0.0000 6.2522
Te 0.0000 0.0000 0.0000
Te 1.9621 1.9621 4.1681
Rh 0.0000 0.0000 4.1681
Rh 1.9621 1.9621 0.0000
```

Values from the calculation:
As for the symmetry: I4/mmm (139). The size of the total moment is 0.00 μB/atom. The formation energy from raw total energies is -0.4834 eV per atom.

=====

Question: size of the total moment of number 4 (Zr4AlCu2)?
Answer: 0.00 μB/atom